[1]
# SbPPt

A relaxed structure of SbPPt (GGA-PBE, Alexandria via LeMat-Bulk).

POSCAR file:
```
SbPPt
1.0
6.342 0.000 0.000
0.000 6.158 0.000
-1.374 0.000 6.180
Sb P Pt
4 4 4
direct
0.154 0.120 0.346
0.154 0.380 0.846
0.846 0.620 0.154
0.846 0.880 0.654
0.363 0.626 0.638
0.363 0.874 0.138
0.637 0.126 0.862
0.637 0.374 0.362
0.274 0.520 0.258
0.274 0.980 0.758
0.726 0.020 0.242
0.726 0.480 0.742
```

Values from the calculation:
- crystal system = monoclinic
- total moment (μB/cell) = 0.00
- symmetry = No. 14
- energy above the lowest structure with this stoichiometry (meV/atom) = 23

[2]
# SbPPt

A relaxed structure of SbPPt (GGA-PBE, Alexandria via LeMat-Bulk).

POSCAR file:
```
SbPPt
1.0
4.702 0.000 0.000
-2.351 4.072 0.000
0.000 0.000 2.974
Sb P Pt
1 1 1
direct
0.000 0.000 0.000
0.667 0.333 0.500
0.333 0.667 0.000
```

Values from the calculation:
- crystal system = hexagonal
- total moment (μB/cell) = 0.00
- symmetry = No. 187
- energy above the lowest structure with this stoichiometry (meV/atom) = 929

[3]
# SbP2Pt

A relaxed structure of SbP2Pt (GGA-PBE, Alexandria via LeMat-Bulk).

POSCAR file:
```
SbP2Pt
1.0
3.306 0.000 0.000
0.000 3.306 0.000
0.000 0.000 7.037
Sb P Pt
1 2 1
direct
0.000 0.000 0.000
0.000 0.000 0.520
0.500 0.500 0.428
0.500 0.500 0.782
```

Values from the calculation:
- crystal system = tetragonal
- total moment (μB/cell) = 0.00
- symmetry = No. 99

no.,uncorrected formation energy (eV/atom)
1,-0.4958
2,0.4098
3,0.1376